# GGA-PBEsol AlSbIN2, optimized geometry
data_AlSbIN2
_cell_length_a 4.108
_cell_length_b 4.108
_cell_length_c 6.210
_cell_angle_alpha 90.00
_cell_angle_beta 90.00
_cell_angle_gamma 90.00
_symmetry_space_group_name_H-M 'P 1'
_symmetry_Int_Tables_number 1
loop_
_symmetry_equiv_pos_as_xyz
'x,y,z'
loop_
_atom_site_label
_atom_site_fract_x
_atom_site_fract_y
_atom_site_fract_z
Al1 0.000 0.000 0.000
Sb1 0.500 0.500 0.500
I1 0.500 0.500 0.000
N1 0.000 0.500 0.500
N2 0.500 0.000 0.500
# * density of states at the Fermi level: 1.58 states/eV/cell
# * total magnetic moment: 0.7 Bohr magnetons per cell
# * E_tot: -21.5 eV for the cell shown


# GGA-PBEsol Ga2P3H11O13, optimized geometry
data_Ga2P3H11O13
_cell_length_a 7.448
_cell_length_b 9.908
_cell_length_c 8.361
_cell_angle_alpha 90.00
_cell_angle_beta 110.05
_cell_angle_gamma 90.00
_symmetry_space_group_name_H-M 'P 1'
_symmetry_Int_Tables_number 1
loop_
_symmetry_equiv_pos_as_xyz
'x,y,z'
loop_
_atom_site_label
_atom_site_fract_x
_atom_site_fract_y
_atom_site_fract_z
Ga1 0.067 0.000 0.024
Ga2 0.413 0.230 0.614
Ga3 0.587 0.730 0.386
Ga4 0.933 0.500 0.976
P1 0.207 0.279 0.896
P2 0.270 0.721 0.018
P3 0.462 0.040 0.336
P4 0.538 0.540 0.664
P5 0.730 0.221 0.982
P6 0.793 0.779 0.104
H1 0.035 0.275 0.449
H2 0.097 0.841 0.367
H3 0.135 0.185 0.333
H4 0.151 0.395 0.284
H5 0.238 0.539 0.231
H6 0.250 0.970 0.583
H7 0.251 0.061 0.749
H8 0.258 0.763 0.514
H9 0.326 0.321 0.059
H10 0.414 0.685 0.951
H11 0.444 0.547 0.784
H12 0.556 0.047 0.216
H13 0.586 0.185 0.049
H14 0.674 0.821 0.941
H15 0.742 0.263 0.486
H16 0.749 0.561 0.251
H17 0.750 0.470 0.417
H18 0.762 0.039 0.769
H19 0.849 0.895 0.716
H20 0.865 0.685 0.667
H21 0.903 0.341 0.633
H22 0.965 0.775 0.551
O1 0.019 0.358 0.851
O2 0.095 0.635 0.924
O3 0.146 0.825 0.493
O4 0.147 0.461 0.192
O5 0.153 0.263 0.413
O6 0.177 0.125 0.898
O7 0.240 0.872 0.979
O8 0.245 0.057 0.245
O9 0.306 0.052 0.655
O10 0.307 0.313 0.769
O11 0.344 0.684 0.209
O12 0.468 0.663 0.545
O13 0.486 0.408 0.565
O14 0.514 0.908 0.435
O15 0.532 0.163 0.455
O16 0.656 0.184 0.791
O17 0.693 0.813 0.231
O18 0.694 0.552 0.345
O19 0.755 0.557 0.755
O20 0.760 0.372 0.021
O21 0.823 0.625 0.102
O22 0.847 0.763 0.587
O23 0.853 0.961 0.808
O24 0.854 0.325 0.507
O25 0.905 0.135 0.076
O26 0.981 0.858 0.149
# * density of states at the Fermi level: 0.00 states/eV/cell
# * total magnetic moment: 0.0 Bohr magnetons per cell
# * E_tot: -340.4 eV for the cell shown


# GGA-PBEsol LiMo2Se, optimized geometry
data_LiMo2Se
_cell_length_a 6.053
_cell_length_b 6.053
_cell_length_c 6.053
_cell_angle_alpha 150.29
_cell_angle_beta 145.76
_cell_angle_gamma 45.95
_symmetry_space_group_name_H-M 'P 1'
_symmetry_Int_Tables_number 1
loop_
_symmetry_equiv_pos_as_xyz
'x,y,z'
loop_
_atom_site_label
_atom_site_fract_x
_atom_site_fract_y
_atom_site_fract_z
Li1 0.000 0.000 0.000
Mo1 0.303 0.803 0.500
Mo2 0.697 0.197 0.500
Se1 0.500 0.500 0.000
# * density of states at the Fermi level: 2.26 states/eV/cell
# * total magnetic moment: 0.0 Bohr magnetons per cell
# * E_tot: -28.9 eV for the cell shown


# GGA-PBEsol LiLaPt2, optimized geometry
data_LiLaPt2
_cell_length_a 3.582
_cell_length_b 3.582
_cell_length_c 5.859
_cell_angle_alpha 90.00
_cell_angle_beta 90.00
_cell_angle_gamma 90.00
_symmetry_space_group_name_H-M 'P 1'
_symmetry_Int_Tables_number 1
loop_
_symmetry_equiv_pos_as_xyz
'x,y,z'
loop_
_atom_site_label
_atom_site_fract_x
_atom_site_fract_y
_atom_site_fract_z
Li1 0.000 0.000 0.000
La1 0.000 0.000 0.500
Pt1 0.500 0.500 0.228
Pt2 0.500 0.500 0.772
# * density of states at the Fermi level: 1.41 states/eV/cell
# * total magnetic moment: 0.0 Bohr magnetons per cell
# * ΔE_f: -738 meV/atom


# GGA-PBEsol CsTbS2, optimized geometry
data_CsTbS2
_cell_length_a 8.278
_cell_length_b 8.278
_cell_length_c 8.278
_cell_angle_alpha 28.31
_cell_angle_beta 28.31
_cell_angle_gamma 28.31
_symmetry_space_group_name_H-M 'P 1'
_symmetry_Int_Tables_number 1
loop_
_symmetry_equiv_pos_as_xyz
'x,y,z'
loop_
_atom_site_label
_atom_site_fract_x
_atom_site_fract_y
_atom_site_fract_z
Cs1 0.000 0.000 0.000
Tb1 0.500 0.500 0.500
S1 0.228 0.228 0.228
S2 0.772 0.772 0.772
# * density of states at the Fermi level: 0.00 states/eV/cell
# * total magnetic moment: 0.0 Bohr magnetons per cell
# * E_tot: -22.2 eV for the cell shown


# GGA-PBEsol Mn2BeNbOs, optimized geometry
data_Mn2BeNbOs
_cell_length_a 3.864
_cell_length_b 3.864
_cell_length_c 4.304
_cell_angle_alpha 90.00
_cell_angle_beta 90.00
_cell_angle_gamma 90.00
_symmetry_space_group_name_H-M 'P 1'
_symmetry_Int_Tables_number 1
loop_
_symmetry_equiv_pos_as_xyz
'x,y,z'
loop_
_atom_site_label
_atom_site_fract_x
_atom_site_fract_y
_atom_site_fract_z
Mn1 0.000 0.500 0.000
Mn2 0.500 0.000 0.000
Be1 0.000 0.000 0.000
Nb1 0.000 0.000 0.500
Os1 0.500 0.500 0.500
# * density of states at the Fermi level: 4.97 states/eV/cell
# * total magnetic moment: 3.0 Bohr magnetons per cell
# * ΔE_f: 674 meV/atom


# GGA-PBEsol Dy5Sn11, optimized geometry
data_Dy5Sn11
_cell_length_a 21.269
_cell_length_b 21.269
_cell_length_c 21.269
_cell_angle_alpha 168.36
_cell_angle_beta 168.20
_cell_angle_gamma 16.60
_symmetry_space_group_name_H-M 'P 1'
_symmetry_Int_Tables_number 1
loop_
_symmetry_equiv_pos_as_xyz
'x,y,z'
loop_
_atom_site_label
_atom_site_fract_x
_atom_site_fract_y
_atom_site_fract_z
Dy1 0.000 0.000 0.000
Dy2 0.308 0.808 0.500
Dy3 0.383 0.383 0.000
Dy4 0.617 0.617 0.000
Dy5 0.692 0.192 0.500
Sn1 0.060 0.560 0.500
Sn2 0.132 0.132 0.000
Sn3 0.180 0.680 0.500
Sn4 0.249 0.249 0.000
Sn5 0.440 0.940 0.500
Sn6 0.500 0.500 0.000
Sn7 0.560 0.060 0.500
Sn8 0.751 0.751 0.000
Sn9 0.820 0.320 0.500
Sn10 0.868 0.868 0.000
Sn11 0.940 0.440 0.500
# * density of states at the Fermi level: 6.50 states/eV/cell
# * total magnetic moment: 0.0 Bohr magnetons per cell
# * ΔE_f: -628 meV/atom


# GGA-PBEsol IrPd2PbW, optimized geometry
data_IrPd2PbW
_cell_length_a 4.744
_cell_length_b 4.744
_cell_length_c 5.063
_cell_angle_alpha 90.00
_cell_angle_beta 90.00
_cell_angle_gamma 90.00
_symmetry_space_group_name_H-M 'P 1'
_symmetry_Int_Tables_number 1
loop_
_symmetry_equiv_pos_as_xyz
'x,y,z'
loop_
_atom_site_label
_atom_site_fract_x
_atom_site_fract_y
_atom_site_fract_z
Ir1 0.000 0.000 0.000
Pd1 0.000 0.500 0.500
Pd2 0.500 0.000 0.500
Pb1 0.500 0.500 0.500
W1 0.500 0.500 0.000
# * density of states at the Fermi level: 6.76 states/eV/cell
# * total magnetic moment: 2.4 Bohr magnetons per cell
# * ΔE_f: 2450 meV/atom


# GGA-PBEsol Ce, optimized geometry
data_Ce
_cell_length_a 3.403
_cell_length_b 3.403
_cell_length_c 5.131
_cell_angle_alpha 90.00
_cell_angle_beta 90.00
_cell_angle_gamma 127.20
_symmetry_space_group_name_H-M 'P 1'
_symmetry_Int_Tables_number 1
loop_
_symmetry_equiv_pos_as_xyz
'x,y,z'
loop_
_atom_site_label
_atom_site_fract_x
_atom_site_fract_y
_atom_site_fract_z
Ce1 0.096 0.904 0.750
Ce2 0.904 0.096 0.250
# * density of states at the Fermi level: 4.67 states/eV/cell
# * total magnetic moment: 0.0 Bohr magnetons per cell
# * ΔE_f: 17 meV/atom
# * energy above the most stable polymorph in this dataset: 0.017 eV per atom


# GGA-PBEsol YIrN2F, optimized geometry
data_YIrN2F
_cell_length_a 3.717
_cell_length_b 3.717
_cell_length_c 5.578
_cell_angle_alpha 90.00
_cell_angle_beta 90.00
_cell_angle_gamma 90.00
_symmetry_space_group_name_H-M 'P 1'
_symmetry_Int_Tables_number 1
loop_
_symmetry_equiv_pos_as_xyz
'x,y,z'
loop_
_atom_site_label
_atom_site_fract_x
_atom_site_fract_y
_atom_site_fract_z
Y1 0.000 0.000 0.000
Ir1 0.000 0.000 0.500
N1 0.000 0.500 0.500
N2 0.500 0.000 0.500
F1 0.500 0.500 0.000
# * density of states at the Fermi level: 1.96 states/eV/cell
# * total magnetic moment: 0.0 Bohr magnetons per cell
# * E_tot: -38.1 eV for the cell shown


# GGA-PBEsol Li2PmSn, optimized geometry
data_Li2PmSn
_cell_length_a 4.805
_cell_length_b 4.805
_cell_length_c 4.805
_cell_angle_alpha 60.00
_cell_angle_beta 60.00
_cell_angle_gamma 60.00
_symmetry_space_group_name_H-M 'P 1'
_symmetry_Int_Tables_number 1
loop_
_symmetry_equiv_pos_as_xyz
'x,y,z'
loop_
_atom_site_label
_atom_site_fract_x
_atom_site_fract_y
_atom_site_fract_z
Li1 0.250 0.250 0.250
Li2 0.750 0.750 0.750
Pm1 0.000 0.000 0.000
Sn1 0.500 0.500 0.500
# * density of states at the Fermi level: 1.48 states/eV/cell
# * total magnetic moment: 0.0 Bohr magnetons per cell
# * ΔE_f: -488 meV/atom


# GGA-PBEsol NaSe3N, optimized geometry
data_NaSe3N
_cell_length_a 5.067
_cell_length_b 5.067
_cell_length_c 5.067
_cell_angle_alpha 90.00
_cell_angle_beta 90.00
_cell_angle_gamma 90.00
_symmetry_space_group_name_H-M 'P 1'
_symmetry_Int_Tables_number 1
loop_
_symmetry_equiv_pos_as_xyz
'x,y,z'
loop_
_atom_site_label
_atom_site_fract_x
_atom_site_fract_y
_atom_site_fract_z
Na1 0.000 0.000 0.000
Se1 0.000 0.000 0.500
Se2 0.000 0.500 0.000
Se3 0.500 0.000 0.000
N1 0.500 0.500 0.500
# * density of states at the Fermi level: 5.36 states/eV/cell
# * total magnetic moment: 2.9 Bohr magnetons per cell
# * E_tot: -12.7 eV for the cell shown


Q: What is the total magnetic moment in the fifth record?
A: 0.0 Bohr magnetons per cell